1.
A plane-wave DFT calculation with PBE was carried out for an optimized crystal structure of PmPr2HoBi4.

Computed properties:
* magnetic moment: 0.0 μB per formula unit
* energy of formation from the pure elements: -0.92 eV per atom
* N(E_F): 1.2 states/eV/f.u.
* symmetry: P2/m

Unit cell a=4.586 b=7.937 c=7.932 alpha=109.49 beta=90.00 gamma=90.00
Fractional coordinates of all 8 atoms:
Pr 0.000 0.500 0.500
Pr 0.500 0.000 0.500
Bi 0.000 0.743 0.241
Bi 0.500 0.251 0.243
Bi 0.500 0.749 0.757
Bi 0.000 0.257 0.759
Pm 0.000 0.000 0.000
Ho 0.500 0.500 0.000

=====

2.
A plane-wave DFT calculation with PBE was carried out for an optimized crystal structure of Ba2CrCo.

Computed properties:
* distance to the lowest polymorph of the same formula: 1.39 eV/f.u.
* magnetic moment: 4.3 μB per formula unit
* energy of formation from the pure elements: 0.79 eV per atom
* N(E_F): 6.9 states/eV/f.u.
* symmetry: P2/m

Unit cell a=3.933 b=3.954 c=9.153 alpha=64.35 beta=90.00 gamma=90.00
Fractional coordinates of all 4 atoms:
Cr 0.500 0.750 0.750
Ba 0.000 0.529 0.471
Ba 0.000 0.971 0.029
Co 0.500 0.250 0.250

=====

3.
A plane-wave DFT calculation with PBE was carried out for an optimized crystal structure of CsNa2SeI.

Computed properties:
* distance to the lowest polymorph of the same formula: 0.68 eV/f.u.
* magnetic moment: 0.0 μB per formula unit
* ΔE_f (raw): -0.97 eV/atom
* N(E_F): 0.0 states/eV/f.u.
* symmetry: P4/mmm

Unit cell a=5.421 b=12.907 c=5.421 alpha=90.00 beta=90.00 gamma=90.00
Fractional coordinates of all 5 atoms:
Se 0.000 0.000 0.000
Cs 0.500 0.500 0.500
Na 0.500 0.000 0.000
Na 0.000 0.000 0.500
I 0.000 0.500 0.000

=====

4.
A plane-wave DFT calculation with PBE was carried out for an optimized crystal structure of BePbAuSe2.

Computed properties:
* magnetic moment: 0.0 μB per formula unit
* ΔE_f (raw): 1.10 eV/atom
* N(E_F): 6.0 states/eV/f.u.
* symmetry: P4/mmm

Unit cell a=5.555 b=5.284 c=5.555 alpha=90.00 beta=90.00 gamma=90.00
Fractional coordinates of all 5 atoms:
Pb 0.000 0.000 0.000
Se 0.500 0.000 0.000
Se 0.000 0.000 0.500
Be 0.500 0.500 0.500
Au 0.000 0.500 0.000

=====

5.
A plane-wave DFT calculation with PBE was carried out for an optimized crystal structure of Er3BiSe.

Computed properties:
* magnetic moment: 0.0 μB per formula unit
* ΔE_f (raw): -0.85 eV/atom
* N(E_F): 3.4 states/eV/f.u.
* symmetry: P2_1/c

Unit cell a=6.645 b=8.883 c=10.949 alpha=117.30 beta=90.00 gamma=90.00
Fractional coordinates of all 20 atoms:
Er 0.115 0.714 0.676
Er 0.171 0.559 0.155
Er 0.671 0.941 0.345
Er 0.615 0.786 0.824
Er 0.385 0.214 0.176
Er 0.885 0.286 0.324
Er 0.929 0.163 0.969
Er 0.829 0.441 0.845
Er 0.071 0.837 0.031
Er 0.571 0.663 0.469
Er 0.329 0.059 0.655
Er 0.429 0.337 0.531
Bi 0.823 0.005 0.654
Bi 0.177 0.995 0.346
Bi 0.323 0.495 0.846
Bi 0.677 0.505 0.154
Se 0.709 0.997 0.103
Se 0.791 0.497 0.603
Se 0.209 0.503 0.397
Se 0.291 0.003 0.897

=====

6.
A plane-wave DFT calculation with PBE was carried out for an optimized crystal structure of CrIrAuBr2.

Computed properties:
* magnetic moment: 3.5 μB per formula unit
* ΔE_f (raw): 0.81 eV/atom
* N(E_F): 3.6 states/eV/f.u.
* symmetry: P4/mmm

Unit cell a=5.043 b=4.891 c=5.043 alpha=90.00 beta=90.00 gamma=90.00
Fractional coordinates of all 5 atoms:
Br 0.500 0.000 0.000
Br 0.000 0.000 0.500
Cr 0.000 0.500 0.000
Ir 0.000 0.000 0.000
Au 0.500 0.500 0.500

=====

- Among the records above, which one has the lowest N(E_F)?
  CsNa2SeI

=====

- Which of these has the lowest N(E_F)?
  CsNa2SeI